## ErTmAs2O8 (PBE)

Data for crystalline ErTmAs2O8 at its relaxed geometry.

The calculation puts the density of states at the Fermi level at 0.0 states/eV/cell. As for the energy: -7.20 eV/atom.

Cell: 5.007 5.007 11.204 Å, 90.00 90.00 90.00°
Space group I-4 (No. 82)
Symmetry-distinct sites (fractional):
Er (0.000, 0.000, 0.000) (multiplicity 2)
Tm (0.000, 0.500, 0.250) (multiplicity 2)
As (0.000, 0.000, 0.500) (multiplicity 2)
As (0.000, 0.500, 0.750) (multiplicity 2)
O (0.151, 0.254, 0.420) (multiplicity 8)
O (0.153, 0.754, 0.829) (multiplicity 8)